Record 1
Compound: YPa
Source: OQMD
Functional: PBE
Structure: relaxed

The structure in POSCAR format:
```
YPa
1.0
3.308 0.000 0.000
-1.654 2.864 0.000
0.000 0.000 5.817
Pa Y
1 1
direct
0.667 0.333 0.750
0.333 0.667 0.250
```

Results
Crystal system   hexagonal
Total moment   0.01 μB per cell
Energy relative to the lowest polymorph listed for this composition   0 meV per atom
Density   9.6 g/cm3



Record 2
Compound: KLiFeOs
Source: OQMD
Functional: PBE
Structure: relaxed

The structure in POSCAR format:
```
KLiFeOs
1.0
0.000 3.247 3.247
3.247 0.000 3.247
3.247 3.247 0.000
Os K Fe Li
1 1 1 1
direct
0.250 0.250 0.250
0.500 0.500 0.500
0.000 0.000 0.000
0.750 0.750 0.750
```

Results
Crystal system   cubic
Total moment   3.94 μB per cell
Energy relative to the lowest polymorph listed for this composition   29 meV per atom
Density   7.1 g/cm3



Record 3
Compound: UNiTe
Source: OQMD
Functional: PBE
Structure: relaxed

The structure in POSCAR format:
```
UNiTe
1.0
3.224 -2.463 1.928
2.664 1.832 3.119
-0.391 -1.243 4.299
Ni Te U
1 1 1
direct
0.000 0.000 0.000
0.250 0.250 0.250
0.750 0.750 0.750
```

Results
Crystal system   cubic
Total moment   2.60 μB per cell
Energy relative to the lowest polymorph listed for this composition   0 meV per atom
Density   11.0 g/cm3



Record 4
Compound: Zr3InPb5
Source: OQMD
Functional: PBE
Structure: relaxed

The structure in POSCAR format:
```
Zr3InPb5
1.0
-1.057 1.170 5.948
3.414 -4.856 -1.621
6.607 4.552 0.278
Zr Pb In
3 5 1
direct
0.500 0.500 0.500
0.000 0.500 0.500
0.500 0.000 0.500
0.667 0.333 0.815
0.667 0.333 0.185
0.333 0.667 0.815
0.000 0.000 0.500
0.333 0.667 0.185
0.000 0.000 0.000
```

Results
Crystal system   hexagonal
Total moment   0.02 μB per cell
Density   9.0 g/cm3
Electronic total energy   -5.13 eV/atom



Record 5
Compound: Nd5Si3C
Source: OQMD
Functional: PBE
Structure: relaxed

The structure in POSCAR format:
```
Nd5Si3C
1.0
8.787 0.000 0.000
-4.393 7.610 0.000
0.000 0.000 6.748
Si Nd C
6 10 2
direct
0.412 0.000 0.750
0.588 0.000 0.250
0.000 0.412 0.750
0.412 0.412 0.250
0.588 0.588 0.750
0.000 0.588 0.250
0.224 0.000 0.250
0.667 0.333 0.500
0.333 0.667 0.000
0.000 0.776 0.750
0.224 0.224 0.750
0.776 0.000 0.750
0.000 0.224 0.250
0.667 0.333 0.000
0.333 0.667 0.500
0.776 0.776 0.250
0.000 0.000 0.000
0.000 0.000 0.500
```

Results
Crystal system   hexagonal
Total moment   0.06 μB per cell
Density   6.0 g/cm3
Electronic total energy   -5.94 eV/atom



Record 6
Compound: Tm3Lu3FeBi2
Source: OQMD
Functional: PBE
Structure: relaxed

The structure in POSCAR format:
```
Tm3Lu3FeBi2
1.0
8.194 0.000 0.000
-4.097 7.096 0.000
0.000 0.000 4.111
Fe Tm Bi Lu
1 3 2 3
direct
0.000 0.000 0.000
0.769 0.000 0.500
0.000 0.769 0.500
0.231 0.231 0.500
0.667 0.333 0.500
0.333 0.667 0.500
0.617 0.617 0.000
0.383 0.000 0.000
0.000 0.383 0.000
```

Results
Crystal system   hexagonal
Total moment   0.69 μB per cell
Energy relative to the lowest polymorph listed for this composition   30 meV per atom
Density   10.5 g/cm3



Record 7
Compound: Gd3Mg3Ga2Pt
Source: OQMD
Functional: PBE
Structure: relaxed

The structure in POSCAR format:
```
Gd3Mg3Ga2Pt
1.0
7.348 0.000 0.000
-3.674 6.364 0.000
0.000 0.000 4.363
Ga Mg Pt Gd
2 3 1 3
direct
0.333 0.667 0.500
0.667 0.333 0.500
0.762 0.000 0.500
0.000 0.762 0.500
0.238 0.238 0.500
0.000 0.000 0.000
0.000 0.410 0.000
0.410 0.000 0.000
0.590 0.590 0.000
```

Results
Crystal system   hexagonal
Total moment   0.03 μB per cell
Density   7.2 g/cm3
Electronic total energy   -4.07 eV/atom



Record 8
Compound: Sn2Pd3Se2
Source: OQMD
Functional: PBE
Structure: relaxed

The structure in POSCAR format:
```
Sn2Pd3Se2
1.0
2.921 1.686 4.784
-2.921 1.686 4.784
0.000 -3.372 4.784
Se Sn Pd
2 2 3
direct
0.795 0.795 0.795
0.205 0.205 0.205
0.000 0.000 0.000
0.500 0.500 0.500
0.500 0.000 0.500
0.500 0.500 0.000
0.000 0.500 0.500
```

Results
Crystal system   trigonal
Density   8.4 g/cm3
Electronic total energy   -4.76 eV/atom